Version 1
This record from Alexandria describes a relaxed TcSe2Br crystal. The functional is PBE.

```
data_TcSe2Br
_chemical_formula_sum 'Tc2 Se4 Br2'
_cell_length_a 3.011
_cell_length_b 5.357
_cell_length_c 11.133
_cell_angle_alpha 90.00
_cell_angle_beta 90.00
_cell_angle_gamma 90.00
_symmetry_space_group_name_H-M 'C m m 2'
_symmetry_Int_Tables_number 35
loop_
_symmetry_equiv_pos_as_xyz
'x,y,z'
'-x,-y,z'
'-x,y,z'
'x,-y,z'
'x+1/2,y+1/2,z'
'-x+1/2,-y+1/2,z'
'-x+1/2,y+1/2,z'
'x+1/2,-y+1/2,z'
loop_
_atom_site_label
_atom_site_type_symbol
_atom_site_fract_x
_atom_site_fract_y
_atom_site_fract_z
Tc1 Tc 0.000 0.000 0.000
Se1 Se 0.000 0.000 0.513
Se2 Se 0.000 0.500 0.825
Br1 Br 0.000 0.500 0.193
```

Version 2
This record from Alexandria describes a relaxed TcSe2Br crystal. The functional is PBE.

```
data_TcSe2Br
_chemical_formula_sum 'Tc1 Se2 Br1'
_cell_length_a 3.4092
_cell_length_b 3.4092
_cell_length_c 8.9992
_cell_angle_alpha 90.00
_cell_angle_beta 90.00
_cell_angle_gamma 120.00
_symmetry_space_group_name_H-M 'P 3 m 1'
_symmetry_Int_Tables_number 156
loop_
_symmetry_equiv_pos_as_xyz
'x,y,z'
'-y,x-y,z'
'-x+y,-x,z'
'-y,-x,z'
'-x+y,y,z'
'x,x-y,z'
loop_
_atom_site_label
_atom_site_type_symbol
_atom_site_fract_x
_atom_site_fract_y
_atom_site_fract_z
Tc1 Tc 0.0000 0.0000 0.0000
Se1 Se 0.3333 0.6667 0.8259
Se2 Se 0.6667 0.3333 0.1851
Br1 Br 0.3333 0.6667 0.4341
```

Version 3
This record from Alexandria describes a relaxed TcSe2Br crystal. The functional is PBE.

```
data_TcSe2Br
_chemical_formula_sum 'Tc1 Se2 Br1'
_cell_length_a 4.243
_cell_length_b 3.935
_cell_length_c 7.275
_cell_angle_alpha 90.00
_cell_angle_beta 102.48
_cell_angle_gamma 90.00
_symmetry_space_group_name_H-M 'P 1 m 1'
_symmetry_Int_Tables_number 6
loop_
_symmetry_equiv_pos_as_xyz
'x,y,z'
'x,-y,z'
loop_
_atom_site_label
_atom_site_type_symbol
_atom_site_fract_x
_atom_site_fract_y
_atom_site_fract_z
Tc1 Tc 0.000 0.000 0.000
Se1 Se 0.412 0.000 0.825
Se2 Se 0.836 0.500 0.777
Br1 Br 0.082 0.500 0.242
```

Version 4
This record from Alexandria describes a relaxed TcSe2Br crystal. The functional is PBE.

```
data_TcSe2Br
_chemical_formula_sum 'Tc3 Se6 Br3'
_cell_length_a 3.9087
_cell_length_b 3.9087
_cell_length_c 26.2139
_cell_angle_alpha 90.00
_cell_angle_beta 90.00
_cell_angle_gamma 120.00
_symmetry_space_group_name_H-M 'R 3 m'
_symmetry_Int_Tables_number 160
_symmetry_space_group_name_Hall 'R 3 -2"'
loop_
_atom_site_label
_atom_site_type_symbol
_atom_site_fract_x
_atom_site_fract_y
_atom_site_fract_z
Tc1 Tc 0.0000 0.0000 0.0000
Se1 Se 0.0000 0.0000 0.3682
Se2 Se 0.0000 0.0000 0.9152
Br1 Br 0.0000 0.0000 0.5064
```

According to the calculations, the structures order from most to least stable as version 2, version 3, version 4, version 1.

Version 1
This record from Alexandria describes a relaxed TcSe2Br crystal. The functional is PBE.

```
data_TcSe2Br
_chemical_formula_sum 'Tc2 Se4 Br2'
_cell_length_a 3.192
_cell_length_b 7.579
_cell_length_c 10.069
_cell_angle_alpha 68.36
_cell_angle_beta 89.39
_cell_angle_gamma 89.87
_symmetry_space_group_name_H-M 'P -1'
_symmetry_Int_Tables_number 2
loop_
_symmetry_equiv_pos_as_xyz
'x,y,z'
'-x,-y,-z'
loop_
_atom_site_label
_atom_site_type_symbol
_atom_site_fract_x
_atom_site_fract_y
_atom_site_fract_z
Tc1 Tc 0.246 0.497 0.119
Se1 Se 0.251 0.245 0.024
Se2 Se 0.259 0.717 0.702
Br1 Br 0.239 0.691 0.286
```

Version 2
This record from Alexandria describes a relaxed TcSe2Br crystal. The functional is PBE.

```
data_TcSe2Br
_chemical_formula_sum 'Tc3 Se6 Br3'
_cell_length_a 2.8976
_cell_length_b 2.8976
_cell_length_c 38.9958
_cell_angle_alpha 90.00
_cell_angle_beta 90.00
_cell_angle_gamma 120.00
_symmetry_space_group_name_H-M 'R -3 m'
_symmetry_Int_Tables_number 166
_symmetry_space_group_name_Hall '-R 3 2"'
loop_
_atom_site_label
_atom_site_type_symbol
_atom_site_fract_x
_atom_site_fract_y
_atom_site_fract_z
Tc1 Tc 0.0000 0.0000 0.0000
Se1 Se 0.0000 0.0000 0.0629
Br1 Br 0.0000 0.0000 0.5000
```

Version 3
This record from Alexandria describes a relaxed TcSe2Br crystal. The functional is PBE.

```
data_TcSe2Br
_chemical_formula_sum 'Tc2 Se4 Br2'
_cell_length_a 4.097
_cell_length_b 6.512
_cell_length_c 8.870
_cell_angle_alpha 101.44
_cell_angle_beta 98.36
_cell_angle_gamma 100.59
_symmetry_space_group_name_H-M 'P 1'
_symmetry_Int_Tables_number 1
loop_
_symmetry_equiv_pos_as_xyz
'x,y,z'
loop_
_atom_site_label
_atom_site_type_symbol
_atom_site_fract_x
_atom_site_fract_y
_atom_site_fract_z
Tc1 Tc 0.000 0.000 0.000
Tc2 Tc 0.493 0.807 0.858
Se1 Se 0.246 0.097 0.790
Se2 Se 0.297 0.734 0.102
Se3 Se 0.780 0.502 0.753
Se4 Se 0.823 0.381 0.999
Br1 Br 0.533 0.767 0.564
Br2 Br 0.978 0.165 0.278
```

According to the calculations, the structures order from most to least stable as version 1, version 3, version 2.

Version 1
This record from Alexandria describes a relaxed TcSeBr2 crystal. The functional is PBE.

```
data_TcSeBr2
_chemical_formula_sum 'Tc3 Se3 Br6'
_cell_length_a 3.0041
_cell_length_b 3.0041
_cell_length_c 37.6824
_cell_angle_alpha 90.00
_cell_angle_beta 90.00
_cell_angle_gamma 120.00
_symmetry_space_group_name_H-M 'R -3 m'
_symmetry_Int_Tables_number 166
_symmetry_space_group_name_Hall '-R 3 2"'
loop_
_atom_site_label
_atom_site_type_symbol
_atom_site_fract_x
_atom_site_fract_y
_atom_site_fract_z
Tc1 Tc 0.0000 0.0000 0.0000
Se1 Se 0.0000 0.0000 0.5000
Br1 Br 0.0000 0.0000 0.0633
```

Version 2
This record from Alexandria describes a relaxed TcSeBr2 crystal. The functional is PBE.

```
data_TcSeBr2
_chemical_formula_sum 'Tc3 Se3 Br6'
_cell_length_a 3.2766
_cell_length_b 3.2766
_cell_length_c 30.1078
_cell_angle_alpha 90.00
_cell_angle_beta 90.00
_cell_angle_gamma 120.00
_symmetry_space_group_name_H-M 'R -3 m'
_symmetry_Int_Tables_number 166
_symmetry_space_group_name_Hall '-R 3 2"'
loop_
_atom_site_label
_atom_site_type_symbol
_atom_site_fract_x
_atom_site_fract_y
_atom_site_fract_z
Tc1 Tc 0.0000 0.0000 0.0000
Se1 Se 0.0000 0.0000 0.5000
Br1 Br 0.0000 0.0000 0.2753
```

According to the calculations, the structures order from most to least stable as version 2, version 1.

Version 1
This record from Alexandria describes a relaxed TcSeBr2 crystal. The functional is PBE.

```
data_TcSeBr2
_chemical_formula_sum 'Tc1 Se1 Br2'
_cell_length_a 3.454
_cell_length_b 4.438
_cell_length_c 6.418
_cell_angle_alpha 90.00
_cell_angle_beta 90.00
_cell_angle_gamma 90.00
_symmetry_space_group_name_H-M 'P m m m'
_symmetry_Int_Tables_number 47
loop_
_symmetry_equiv_pos_as_xyz
'x,y,z'
'-x,-y,-z'
'-x,-y,z'
'x,y,-z'
'x,-y,-z'
'-x,y,z'
'-x,y,-z'
'x,-y,z'
loop_
_atom_site_label
_atom_site_type_symbol
_atom_site_fract_x
_atom_site_fract_y
_atom_site_fract_z
Tc1 Tc 0.000 0.000 0.000
Se1 Se 0.500 0.000 0.500
Br1 Br 0.000 0.500 0.500
Br2 Br 0.500 0.500 0.000
```

Version 2
This record from Alexandria describes a relaxed TcSeBr2 crystal. The functional is PBE.

```
data_TcSeBr2
_chemical_formula_sum 'Tc4 Se4 Br8'
_cell_length_a 9.460
_cell_length_b 9.460
_cell_length_c 4.720
_cell_angle_alpha 90.00
_cell_angle_beta 90.00
_cell_angle_gamma 90.00
_symmetry_space_group_name_H-M 'I -4 2 d'
_symmetry_Int_Tables_number 122
_symmetry_space_group_name_Hall 'I -4 2bw'
loop_
_atom_site_label
_atom_site_type_symbol
_atom_site_fract_x
_atom_site_fract_y
_atom_site_fract_z
Tc1 Tc 0.000 0.000 0.000
Se1 Se 0.000 0.000 0.500
Br1 Br 0.105 0.250 0.125
```

Version 3
This record from Alexandria describes a relaxed TcSeBr2 crystal. The functional is PBE.

```
data_TcSeBr2
_chemical_formula_sum 'Tc1 Se1 Br2'
_cell_length_a 3.098
_cell_length_b 3.098
_cell_length_c 9.277
_cell_angle_alpha 90.00
_cell_angle_beta 90.00
_cell_angle_gamma 90.00
_symmetry_space_group_name_H-M 'P 4/m m m'
_symmetry_Int_Tables_number 123
_symmetry_space_group_name_Hall '-P 4 2'
loop_
_atom_site_label
_atom_site_type_symbol
_atom_site_fract_x
_atom_site_fract_y
_atom_site_fract_z
Tc1 Tc 0.000 0.000 0.000
Se1 Se 0.000 0.000 0.500
Br1 Br 0.500 0.500 0.171
```

According to the calculations, the structures order from most to least stable as version 2, version 3, version 1.

Version 1
This record from Alexandria describes a relaxed TcSeBr2 crystal. The functional is PBE.

```
data_TcSeBr2
_chemical_formula_sum 'Tc2 Se2 Br4'
_cell_length_a 6.469
_cell_length_b 3.731
_cell_length_c 8.603
_cell_angle_alpha 90.00
_cell_angle_beta 90.67
_cell_angle_gamma 90.00
_symmetry_space_group_name_H-M 'C 1 m 1'
_symmetry_Int_Tables_number 8
loop_
_symmetry_equiv_pos_as_xyz
'x,y,z'
'x,-y,z'
'x+1/2,y+1/2,z'
'x+1/2,-y+1/2,z'
loop_
_atom_site_label
_atom_site_type_symbol
_atom_site_fract_x
_atom_site_fract_y
_atom_site_fract_z
Tc1 Tc 0.000 0.000 0.000
Se1 Se 0.165 0.500 0.865
Br1 Br 0.158 0.500 0.581
Br2 Br 0.336 0.000 0.194
```

Version 2
This record from Alexandria describes a relaxed TcSeBr2 crystal. The functional is PBE.

```
data_TcSeBr2
_chemical_formula_sum 'Tc2 Se2 Br4'
_cell_length_a 4.741
_cell_length_b 14.362
_cell_length_c 3.597
_cell_angle_alpha 90.00
_cell_angle_beta 90.00
_cell_angle_gamma 90.00
_symmetry_space_group_name_H-M 'C m m m'
_symmetry_Int_Tables_number 65
_symmetry_space_group_name_Hall '-C 2 2'
loop_
_atom_site_label
_atom_site_type_symbol
_atom_site_fract_x
_atom_site_fract_y
_atom_site_fract_z
Tc1 Tc 0.000 0.000 0.000
Se1 Se 0.000 0.500 0.000
Br1 Br 0.000 0.131 0.500
```

According to the calculations, the structures order from most to least stable as version 2, version 1.

Version 1
This record from Alexandria describes a relaxed TcSeBr2 crystal. The functional is PBE.

```
data_TcSeBr2
_chemical_formula_sum 'Tc4 Se4 Br8'
_cell_length_a 7.105
_cell_length_b 7.105
_cell_length_c 7.105
_cell_angle_alpha 90.00
_cell_angle_beta 90.00
_cell_angle_gamma 90.00
_symmetry_space_group_name_H-M 'F m -3 m'
_symmetry_Int_Tables_number 225
_symmetry_space_group_name_Hall '-F 4 2 3'
loop_
_atom_site_label
_atom_site_type_symbol
_atom_site_fract_x
_atom_site_fract_y
_atom_site_fract_z
Tc1 Tc 0.000 0.000 0.000
Se1 Se 0.000 0.000 0.500
Br1 Br 0.250 0.250 0.250
```

Version 2
This record from Alexandria describes a relaxed TcSeBr2 crystal. The functional is PBE.

```
data_TcSeBr2
_chemical_formula_sum 'Tc2 Se2 Br4'
_cell_length_a 3.143
_cell_length_b 4.468
_cell_length_c 14.983
_cell_angle_alpha 90.00
_cell_angle_beta 90.00
_cell_angle_gamma 90.00
_symmetry_space_group_name_H-M 'I m m m'
_symmetry_Int_Tables_number 71
_symmetry_space_group_name_Hall '-I 2 2'
loop_
_atom_site_label
_atom_site_type_symbol
_atom_site_fract_x
_atom_site_fract_y
_atom_site_fract_z
Tc1 Tc 0.000 0.000 0.000
Se1 Se 0.000 0.000 0.500
Br1 Br 0.000 0.500 0.359
```

According to the calculations, the structures order from most to least stable as version 2, version 1.